[1]
{
  "formula": "MgZrFeSb",
  "functional": "PBE",
  "state": "optimized geometry",
  "space_group": "F-43m",
  "relative_energy_ev_per_fu": 0.50,
  "cell": [[1.195, -4.413, 1.199], [1.528, -0.929, 4.376], [-2.722, -2.459, 2.981]],
  "species": ["Fe", "Mg", "Zr", "Sb"],
  "frac_coords": [[0.750, 0.750, 0.750], [0.500, 0.500, 0.500], [0.250, 0.250, 0.250], [0.000, 0.000, 0.000]]
}

[2]
{
  "formula": "Ta3C2S",
  "functional": "PBE",
  "state": "optimized geometry",
  "space_group": "P6_3/mmc",
  "final_energy_ev_per_atom": -10.33,
  "cell": [[3.174, 0.000, 0.000], [-1.587, 2.748, 0.000], [0.000, 0.000, 17.409]],
  "species": ["C", "C", "C", "C", "S", "S", "Ta", "Ta", "Ta", "Ta", "Ta", "Ta"],
  "frac_coords": [[0.333, 0.667, 0.075], [0.667, 0.333, 0.575], [0.667, 0.333, 0.925], [0.333, 0.667, 0.425], [0.000, 0.000, 0.250], [0.000, 0.000, 0.750], [0.667, 0.333, 0.354], [0.000, 0.000, 0.000], [0.000, 0.000, 0.500], [0.333, 0.667, 0.854], [0.667, 0.333, 0.146], [0.333, 0.667, 0.646]]
}

[3]
{
  "formula": "LaSm2IrO6",
  "functional": "PBE",
  "state": "optimized geometry",
  "space_group": "C2/m",
  "relative_energy_ev_per_fu": 0.50,
  "cell": [[4.887, -2.968, 0.000], [4.887, 2.968, 0.000], [-2.933, 0.000, 4.948]],
  "species": ["Sm", "Sm", "O", "O", "O", "O", "O", "O", "La", "Ir"],
  "frac_coords": [[0.752, 0.752, 0.798], [0.248, 0.248, 0.202], [0.170, 0.664, 0.147], [0.278, 0.278, 0.627], [0.830, 0.336, 0.853], [0.336, 0.830, 0.853], [0.722, 0.722, 0.373], [0.664, 0.170, 0.147], [0.000, 0.000, 0.500], [0.500, 0.500, 0.000]]
}